The following is a DFT calculation (PBE-GGA) of Dy2Zr2Sc7 after structural relaxation.

Values from the calculation:
N(E_F): 1.357 states/eV per atom
DFT formation energy: 171 kJ/mol of formula units
total energy: -68.846 eV for the cell shown
volume: 25.851 A^3/atom
crystal system: monoclinic

Cell: 7.4852 6.3697 6.3697 Å, 102.64 79.87 79.87°
Last column: nearest neighbours and their distance in Å.
Fractional positions:
Dy: 0.5000 0.2836 0.7164  8 Sc 3.11-3.34, 2 Zr 3.17
Zr: 0.8232 0.4210 0.4210  6 Sc 2.96-3.24, 2 Dy 3.17, 1 Zr 3.23
Dy: 0.5000 0.7164 0.2836  8 Sc 3.11-3.34, 2 Zr 3.17
Sc: 0.1591 0.5041 0.1091  2 Zr 2.96-3.12, 1 Sc 2.96, 1 Dy 3.11
Sc: 0.8409 0.4959 0.8909  2 Zr 2.96-3.12, 1 Sc 2.96, 1 Dy 3.11
Zr: 0.1768 0.5790 0.5790  6 Sc 2.96-3.24, 2 Dy 3.17, 1 Zr 3.23
Sc: 0.1591 0.1091 0.5041  2 Zr 2.96-3.12, 1 Sc 2.96, 1 Dy 3.11
Sc: 0.8409 0.8909 0.4959  2 Zr 2.96-3.12, 1 Sc 2.96, 1 Dy 3.11
Sc: 0.0000 0.0000 0.0000  2 Zr 3.24, 10 Sc 3.39-3.59
Sc: 0.4654 0.8041 0.8041  2 Zr 3.17-3.45, 4 Dy 3.20-3.27, 4 Sc 3.30-3.39
Sc: 0.5346 0.1959 0.1959  2 Zr 3.17-3.45, 4 Dy 3.20-3.27, 4 Sc 3.30-3.39